Record 1
DFT (PBE-GGA) results for an optimized crystal structure of MnBeCoC.

a b c (Å): 3.5669 3.5669 3.5669
angles (deg): 60.00 60.00 60.00
Closest atoms and distances in Å follow each position.
Sites, in units of the cell vectors:
1 Mn 0.7500 0.7500 0.7500  4 C 2.18, 4 Be 2.18
2 C 0.0000 0.0000 0.0000  4 Co 2.18, 4 Mn 2.18
3 Be 0.5000 0.5000 0.5000  4 Mn 2.18, 4 Co 2.18
4 Co 0.2500 0.2500 0.2500  4 Be 2.18, 4 C 2.18

Computed properties:
Calculated volume (A^3/atom): 8.02
Raw total energy (eV/atom): -6.828
ρ (g/cm3): 7.0
Symmetry: F-43m, No. 216

Record 2
DFT (PBE-GGA) results for an optimized crystal structure of DySiNiIr.

a b c (Å): 3.8830 4.0411 5.4837
angles (deg): 111.62 110.74 90.00
Closest atoms and distances in Å follow each position.
Sites, in units of the cell vectors:
1 Ni 0.3295 0.3295 0.6590  2 Si 2.25, 1 Ir 2.47
2 Ir 0.5914 0.5914 0.1828  2 Si 2.31, 1 Ni 2.47
3 Dy 0.9700 0.9700 0.9400  4 Si 3.02-3.14, 4 Ir 3.03, 4 Ni 3.10
4 Si 0.2245 0.7245 0.4489  2 Ni 2.25, 2 Ir 2.31

Computed properties:
Calculated volume (A^3/atom): 18.49
ρ (g/cm3): 9.9
E_form (uncorrected) (eV/atom): -0.56
Symmetry: Imm2, No. 44

Record 3
DFT (PBE-GGA) results for an optimized crystal structure of Li2CoHAu.

a b c (Å): 3.9182 3.9182 3.5262
angles (deg): 90.00 90.00 90.00
Closest atoms and distances in Å follow each position.
Sites, in units of the cell vectors:
1 Co 0.0000 0.0000 0.5000  2 H 1.76
2 Au 0.5000 0.5000 0.5000  8 Li 2.64, 4 Co 2.77
3 Li 0.0000 0.5000 0.0000  2 H 1.96
4 Li 0.5000 0.0000 0.0000  2 H 1.96
5 H 0.0000 0.0000 0.0000  2 Co 1.76, 4 Li 1.96

Computed properties:
Calculated volume (A^3/atom): 10.83
Raw total energy (eV/atom): -3.705
ρ (g/cm3): 8.3
Symmetry: P4/mmm, No. 123

Record 4
DFT (PBE-GGA) results for an optimized crystal structure of MgZr2Se.

a b c (Å): 3.4619 3.4619 7.8169
angles (deg): 90.00 90.00 90.01
Closest atoms and distances in Å follow each position.
Sites, in units of the cell vectors:
1 Mg 0.0000 0.0000 0.4933  4 Zr 3.22, 4 Mg 3.46, 4 Se 3.50
2 Zr 0.0000 0.0000 0.9685  4 Se 2.73
3 Se 0.5000 0.5000 0.8127  4 Zr 2.73
4 Zr 0.5000 0.5000 0.2255  8 Zr 3.17-3.46, 4 Mg 3.22, 1 Se 3.23

Computed properties:
Calculated volume (A^3/atom): 23.42
Excess energy over the best structure of this formula in the dataset (meV/atom): 22
ρ (g/cm3): 5.1
E_form (uncorrected) (eV/atom): -0.45
Symmetry: P4mm, No. 99

Record 5
DFT (PBE-GGA) results for an optimized crystal structure of Li2AgTe.

a b c (Å): 4.8903 4.8903 4.8903
angles (deg): 60.00 60.00 60.00
Closest atoms and distances in Å follow each position.
Sites, in units of the cell vectors:
1 Li 0.0000 0.0000 0.0000  4 Te 2.99, 4 Li 2.99
2 Li 0.2500 0.2500 0.2500  4 Li 2.99, 4 Ag 2.99
3 Ag 0.5000 0.5000 0.5000  4 Li 2.99, 4 Te 2.99
4 Te 0.7500 0.7500 0.7500  4 Li 2.99, 4 Ag 2.99

Computed properties:
Calculated volume (A^3/atom): 20.67
ρ (g/cm3): 5.0
E_form (uncorrected) (eV/atom): -0.35
Symmetry: F-43m, No. 216

Record 6
DFT (PBE-GGA) results for an optimized crystal structure of LaScAl2Pd.

a b c (Å): 5.2024 4.7372 5.2024
angles (deg): 90.00 90.00 90.00
Closest atoms and distances in Å follow each position.
Sites, in units of the cell vectors:
1 Al 0.5000 0.0000 0.0000  2 Sc 2.60
2 Pd 0.0000 0.5000 0.0000  2 Sc 2.37
3 Al 0.0000 0.0000 0.5000  2 Sc 2.60
4 Sc 0.0000 0.0000 0.0000  2 Pd 2.37, 4 Al 2.60
5 La 0.5000 0.5000 0.5000  8 Al 3.52, 4 Pd 3.68

Computed properties:
Calculated volume (A^3/atom): 25.64
Raw total energy (eV/atom): -4.707
ρ (g/cm3): 4.5
Symmetry: P4/mmm, No. 123